The following is a DFT calculation (PBE+U) of a relaxed SrPrGdCoO6 crystal.

Summary:
The volume comes out at 266.8 Å³/cell. For the spin magnetization, the calculation gives 5.98 μB per formula unit. Its energy is -0.2939 hartree per atom.

```
data_SrPrGdCoO6
_space_group_name_H-M_alt 'P 1 c 1'
_space_group_IT_number 7
_cell_length_a 5.6924
_cell_length_b 5.7929
_cell_length_c 9.8178
_cell_angle_alpha 90.00
_cell_angle_beta 124.51
_cell_angle_gamma 90.00
loop_
_space_group_symop_operation_xyz
'x,y,z'
'x,-y,z+1/2'
loop_
_atom_site_label
_atom_site_type_symbol
_atom_site_fract_x
_atom_site_fract_y
_atom_site_fract_z
_atom_site_occupancy
Sr1 Sr 0.0000 0.2151 0.0000 1
Pr1 Pr 0.4719 0.3008 0.4983 1
Gd1 Gd 0.7397 0.2411 0.2496 1
Co1 Co 0.2401 0.2522 0.7491 1
O1 O 0.0235 0.4555 0.7915 1
O2 O 0.1093 0.0227 0.2997 1
O3 O 0.3913 0.4870 0.2017 1
O4 O 0.4654 0.0664 0.7024 1
O5 O 0.5418 0.2813 0.9767 1
O6 O 0.9153 0.2322 0.5214 1
```